Density functional theory data (SCAN) for a PBEsol-optimized structure of ZrTcRu.

Cell: 4.274 4.274 4.274 Å, 60.00 60.00 60.00°
Atoms (fractional coordinates):
Zr 0.000 0.000 0.000
Tc 0.750 0.750 0.750
Ru 0.250 0.250 0.250

Calculated values
E_form = 0.86 eV per atom

---

Density functional theory data (SCAN) for a PBEsol-optimized structure of Te3Ru.

Cell: 5.668 5.668 5.668 Å, 90.00 90.00 90.00°
Atoms (fractional coordinates):
Te 0.000 0.250 0.500
Te 0.000 0.750 0.500
Te 0.250 0.500 0.000
Te 0.500 0.000 0.250
Te 0.500 0.000 0.750
Te 0.750 0.500 0.000
Ru 0.000 0.000 0.000
Ru 0.500 0.500 0.500

Calculated values
Formation energy without anion corrections = 0.851 eV/atom

---

Density functional theory data (SCAN) for a PBEsol-optimized structure of Te3Ru.

Cell: 4.979 4.979 4.979 Å, 109.47 109.47 109.47°
Atoms (fractional coordinates):
Te 0.000 0.500 0.500
Te 0.500 0.000 0.500
Te 0.500 0.500 0.000
Ru 0.000 0.000 0.000

Calculated values
Formation energy without anion corrections = 0.364 eV/atom

---

Density functional theory data (SCAN) for a PBEsol-optimized structure of Te4Ru3.

Cell: 5.269 5.269 5.885 Å, 90.00 90.00 120.00°
Atoms (fractional coordinates):
Te 0.000 0.000 0.235
Te 0.000 0.000 0.765
Te 0.333 0.667 0.500
Te 0.667 0.333 0.500
Ru 0.000 0.500 0.000
Ru 0.500 0.000 0.000
Ru 0.500 0.500 0.000

Calculated values
Formation energy without anion corrections = 0.796 eV/atom

---

Density functional theory data (SCAN) for a PBEsol-optimized structure of TeRu4.

Cell: 4.742 4.742 4.742 Å, 99.67 99.67 131.60°
Atoms (fractional coordinates):
Te 0.000 0.000 0.000
Ru 0.185 0.401 0.586
Ru 0.401 0.815 0.216
Ru 0.599 0.185 0.784
Ru 0.815 0.599 0.414

Calculated values
Formation energy without anion corrections = 0.218 eV/atom

---

Density functional theory data (SCAN) for a PBEsol-optimized structure of TeRu3.

Cell: 5.234 5.234 5.234 Å, 146.07 129.98 61.82°
Atoms (fractional coordinates):
Te 0.000 0.000 0.000
Ru 0.227 0.727 0.500
Ru 0.500 0.500 0.000
Ru 0.773 0.273 0.500

Calculated values
Formation energy without anion corrections = 0.457 eV/atom

---

Density functional theory data (SCAN) for a PBEsol-optimized structure of TiTe3Ru.

Cell: 5.162 5.162 5.162 Å, 90.00 90.00 90.00°
Atoms (fractional coordinates):
Ti 0.000 0.000 0.000
Te 0.000 0.000 0.500
Te 0.000 0.500 0.000
Te 0.500 0.000 0.000
Ru 0.500 0.500 0.500

Calculated values
Formation energy without anion corrections = 0.734 eV/atom

---

Density functional theory data (SCAN) for a PBEsol-optimized structure of Tl2TeRu.

Cell: 7.525 7.525 7.525 Å, 155.58 146.47 41.92°
Atoms (fractional coordinates):
Tl 0.180 0.180 0.000
Tl 0.820 0.820 0.000
Te 0.500 0.000 0.500
Ru 0.000 0.500 0.500

Calculated values
Formation energy without anion corrections = 0.246 eV/atom
Excess energy over the best structure of this formula in the dataset = 0.0 meV/atom

---

no.,E_tot (eV/atom)
1,-32.668
2,-35.793
3,-36.281
4,-35.416
5,-35.093
6,-34.975
7,-31.787
8,-53.953